No. 1
DFT (SCAN) results for a PBEsol-optimized structure of TlCoSb2.

Energy relative to the elements, uncorrected ... 0.1644 eV per atom

Lattice parameters (Å, degrees): 3.1374 3.1374 8.9113 90.00 90.00 90.00
Fractional coordinates of all 4 atoms:
Tl: 0.0000 0.0000 0.0000
Co: 0.0000 0.0000 0.5000
Sb: 0.5000 0.5000 0.3254
Sb: 0.5000 0.5000 0.6746

***

No. 2
DFT (SCAN) results for a PBEsol-optimized structure of BeTlRu2.

E_form ... 254 meV/atom
Relative energy among the computed polymorphs ... 0.0 kJ per mole of atoms

Lattice parameters (Å, degrees): 2.9704 2.9704 6.4482 90.00 90.00 90.00
Fractional coordinates of all 4 atoms:
Be: 0.0000 0.0000 0.0000
Tl: 0.5000 0.5000 0.6929
Ru: 0.0000 0.0000 0.3951
Ru: 0.5000 0.5000 0.1377

***

no.,DOS(E_F) (states/eV per atom)
1,0.60
2,0.86